No. 1
Compound: CsKHgI
Source: Alexandria
Functional: PBE
Structure: relaxed

The structure in POSCAR format:
```
CsKHgI
1.0
6.468 0.000 0.000
3.234 5.601 0.000
3.234 1.867 5.281
I Hg Cs K
1 1 1 1
Direct
0.000 0.000 0.000
0.500 0.500 0.500
0.250 0.250 0.250
0.750 0.750 0.750
```

Values from the calculation:
- density of states at the Fermi level (states/eV/f.u.) = 3.80
- energy relative to the elements, uncorrected (eV per atom) = -0.69
- crystal system = cubic
- VASP energy (hartree per atom) = -0.06047

No. 2
Compound: Ho7PtI12
Source: Alexandria
Functional: PBE
Structure: relaxed

The structure in POSCAR format:
```
Ho7PtI12
1.0
9.745 -0.015 -0.024
-2.902 9.302 -0.024
-2.902 -3.940 8.427
I Ho Pt
12 7 1
Direct
0.574 0.178 0.724
0.341 0.109 0.031
0.822 0.276 0.426
0.276 0.426 0.822
0.109 0.031 0.341
0.724 0.574 0.178
0.969 0.659 0.891
0.426 0.822 0.276
0.891 0.969 0.659
0.178 0.724 0.574
0.031 0.341 0.109
0.659 0.891 0.969
0.399 0.469 0.197
0.469 0.197 0.399
0.531 0.803 0.601
0.000 0.000 0.000
0.803 0.601 0.531
0.601 0.531 0.803
0.197 0.399 0.469
0.500 0.500 0.500
```

Values from the calculation:
- density of states at the Fermi level (states/eV/f.u.) = 4.60
- energy relative to the elements, uncorrected (eV per atom) = -1.26
- crystal system = trigonal
- VASP energy (hartree per atom) = -0.15055

No. 3
Compound: CrRh2Se
Source: Alexandria
Functional: PBE
Structure: relaxed

The structure in POSCAR format:
```
CrRh2Se
1.0
4.535 -0.158 0.171
3.569 2.803 0.171
0.598 0.195 4.504
Rh Cr Se
2 1 1
Direct
0.511 0.511 0.482
0.989 0.989 0.018
0.250 0.250 0.250
0.750 0.750 0.750
```

Values from the calculation:
- density of states at the Fermi level (states/eV/f.u.) = 4.24
- energy relative to the elements, uncorrected (eV per atom) = 0.03
- crystal system = monoclinic
- VASP energy (hartree per atom) = -0.25442

What is the formula in the first record?
CsKHgI

Number 1 is which compound?
CsKHgI